Entry 1:
Here is a relaxed structure of InIr2Br from the Alexandria database. Energies are from GGA-PBE.

```
data_InIr2Br
_chemical_formula_sum 'In2 Ir4 Br2'
_symmetry_space_group_name_H-M 'I m m m'
_symmetry_Int_Tables_number 71
_symmetry_space_group_name_Hall '-I 2 2'
_cell_length_a 2.938
_cell_length_b 5.230
_cell_length_c 9.296
_cell_angle_alpha 90.00
_cell_angle_beta 90.00
_cell_angle_gamma 90.00
loop_
_atom_site_label
_atom_site_fract_x
_atom_site_fract_y
_atom_site_fract_z
_atom_site_occupancy
In1 0.000 0.000 0.000 1
Ir1 0.000 0.500 0.249 1
Br1 0.000 0.000 0.500 1
```

Results
As for the total energy: -0.182 Ha/atom. For the uncorrected formation energy, the calculation gives 582 meV/atom.

Entry 2:
Here is a relaxed structure of Ba2Sr8Ca from the Alexandria database. Energies are from GGA-PBE.

```
data_Ba2Sr8Ca
_chemical_formula_sum 'Ba4 Sr16 Ca2'
_symmetry_space_group_name_H-M 'C 1 2/m 1'
_symmetry_Int_Tables_number 12
_cell_length_a 21.816
_cell_length_b 6.017
_cell_length_c 9.595
_cell_angle_alpha 90.00
_cell_angle_beta 105.47
_cell_angle_gamma 90.00
loop_
_symmetry_equiv_pos_as_xyz
'x,y,z'
'-x,-y,-z'
'-x,y,-z'
'x,-y,z'
'x+1/2,y+1/2,z'
'-x+1/2,-y+1/2,-z'
'-x+1/2,y+1/2,-z'
'x+1/2,-y+1/2,z'
loop_
_atom_site_label
_atom_site_fract_x
_atom_site_fract_y
_atom_site_fract_z
_atom_site_occupancy
Ba1 0.226 0.000 0.139 1
Sr1 0.043 0.000 0.229 1
Sr2 0.087 0.500 0.945 1
Sr3 0.132 0.000 0.671 1
Sr4 0.178 0.500 0.407 1
Ca1 0.000 0.500 0.500 1
```

Results
As for the total energy: -0.064 Ha/atom. The value obtained for the energy of formation is 0.87 kJ per mole of atoms.

Entry 3:
Here is a relaxed structure of InAg3 from the Alexandria database. Energies are from GGA-PBE.

```
data_InAg3
_chemical_formula_sum 'In2 Ag6'
_symmetry_space_group_name_H-M 'P m -3 n'
_symmetry_Int_Tables_number 223
_symmetry_space_group_name_Hall '-P 4n 2 3'
_cell_length_a 5.374
_cell_length_b 5.374
_cell_length_c 5.374
_cell_angle_alpha 90.00
_cell_angle_beta 90.00
_cell_angle_gamma 90.00
loop_
_atom_site_label
_atom_site_fract_x
_atom_site_fract_y
_atom_site_fract_z
_atom_site_occupancy
In1 0.000 0.000 0.000 1
Ag1 0.000 0.250 0.500 1
```

Results
As for the total energy: -0.103 Ha/atom. The value obtained for the energy of formation is 1.58 kJ per mole of atoms.

Entry 4:
Here is a relaxed structure of HfMnFe2C from the Alexandria database. Energies are from GGA-PBE.

```
data_HfMnFe2C
_chemical_formula_sum 'Hf1 Mn1 Fe2 C1'
_symmetry_space_group_name_H-M 'P 4/m m m'
_symmetry_Int_Tables_number 123
_symmetry_space_group_name_Hall '-P 4 2'
_cell_length_a 3.826
_cell_length_b 3.826
_cell_length_c 3.876
_cell_angle_alpha 90.00
_cell_angle_beta 90.00
_cell_angle_gamma 90.00
loop_
_atom_site_label
_atom_site_fract_x
_atom_site_fract_y
_atom_site_fract_z
_atom_site_occupancy
Hf1 0.000 0.000 0.000 1
Mn1 0.500 0.500 0.000 1
Fe1 0.000 0.500 0.500 1
C1 0.500 0.500 0.500 1
```

Results
As for the total energy: -0.341 Ha/atom. The value obtained for the energy of formation is -21.61 kJ per mole of atoms.

Look up the total energy of the second one. -0.064 Ha/atom

Copy entry 1 word for word.
Here is a relaxed structure of InIr2Br from the Alexandria database. Energies are from GGA-PBE.

```
data_InIr2Br
_chemical_formula_sum 'In2 Ir4 Br2'
_symmetry_space_group_name_H-M 'I m m m'
_symmetry_Int_Tables_number 71
_symmetry_space_group_name_Hall '-I 2 2'
_cell_length_a 2.938
_cell_length_b 5.230
_cell_length_c 9.296
_cell_angle_alpha 90.00
_cell_angle_beta 90.00
_cell_angle_gamma 90.00
loop_
_atom_site_label
_atom_site_fract_x
_atom_site_fract_y
_atom_site_fract_z
_atom_site_occupancy
In1 0.000 0.000 0.000 1
Ir1 0.000 0.500 0.249 1
Br1 0.000 0.000 0.500 1
```

Results
As for the total energy: -0.182 Ha/atom. For the uncorrected formation energy, the calculation gives 582 meV/atom.

Which value of total energy does entry 4 give? -0.341 Ha/atom

Look up the total energy of the third one. -0.103 Ha/atom